(1)
Entry from the Alexandria database: an optimized crystal structure of KFe2Pb (GGA-PBEsol).

Output
density of states at the Fermi level: 13.73 states/eV/cell
spin magnetization: 16.00 μB/cell
crystal system: trigonal

CIF file:
```
data_KFe2Pb
_symmetry_space_group_name_H-M 'R -3 m'
_symmetry_Int_Tables_number 166
_symmetry_space_group_name_Hall '-R 3 2"'
_cell_length_a 3.0763
_cell_length_b 3.0763
_cell_length_c 30.7077
_cell_angle_alpha 90.00
_cell_angle_beta 90.00
_cell_angle_gamma 120.00
loop_
_atom_site_label
_atom_site_type_symbol
_atom_site_fract_x
_atom_site_fract_y
_atom_site_fract_z
K1 K 0.0000 0.0000 0.0000
Fe1 Fe 0.0000 0.0000 0.2399
Pb1 Pb 0.0000 0.0000 0.5000
```



(2)
Entry from the Alexandria database: an optimized crystal structure of KFe2Pb (GGA-PBEsol).

Output
density of states at the Fermi level: 10.92 states/eV/cell
spin magnetization: 11.22 μB/cell
crystal system: monoclinic

CIF file:
```
data_KFe2Pb
_symmetry_space_group_name_H-M 'C 1 2/m 1'
_symmetry_Int_Tables_number 12
_cell_length_a 6.2701
_cell_length_b 9.7339
_cell_length_c 2.8858
_cell_angle_alpha 90.00
_cell_angle_beta 112.74
_cell_angle_gamma 90.00
loop_
_symmetry_equiv_pos_as_xyz
'x,y,z'
'-x,-y,-z'
'-x,y,-z'
'x,-y,z'
'x+1/2,y+1/2,z'
'-x+1/2,-y+1/2,-z'
'-x+1/2,y+1/2,-z'
'x+1/2,-y+1/2,z'
loop_
_atom_site_label
_atom_site_type_symbol
_atom_site_fract_x
_atom_site_fract_y
_atom_site_fract_z
K1 K 0.0000 0.0000 0.0000
Fe1 Fe 0.2500 0.2500 0.5000
Pb1 Pb 0.0000 0.5000 0.0000
```



(3)
Entry from the Alexandria database: an optimized crystal structure of KFe2Pb (GGA-PBEsol).

Output
density of states at the Fermi level: 2.17 states/eV/cell
spin magnetization: 5.21 μB/cell
crystal system: tetragonal

CIF file:
```
data_KFe2Pb
_symmetry_space_group_name_H-M 'P 4 m m'
_symmetry_Int_Tables_number 99
_cell_length_a 3.2004
_cell_length_b 3.2004
_cell_length_c 8.1667
_cell_angle_alpha 90.00
_cell_angle_beta 90.00
_cell_angle_gamma 90.00
loop_
_symmetry_equiv_pos_as_xyz
'x,y,z'
'-y,x,z'
'-x,-y,z'
'y,-x,z'
'-x,y,z'
'y,x,z'
'x,-y,z'
'-y,-x,z'
loop_
_atom_site_label
_atom_site_type_symbol
_atom_site_fract_x
_atom_site_fract_y
_atom_site_fract_z
K1 K 0.0000 0.0000 0.0000
Fe1 Fe 0.0000 0.0000 0.5739
Fe2 Fe 0.5000 0.5000 0.6809
Pb1 Pb 0.5000 0.5000 0.3441
```



Which is most stable, and by how much? (3), by 659 meV/atom.



(1)
Entry from the Alexandria database: an optimized crystal structure of K2FeRh (GGA-PBEsol).

Output
density of states at the Fermi level: 14.67 states/eV/cell
spin magnetization: 14.71 μB/cell
crystal system: cubic

CIF file:
```
data_K2FeRh
_symmetry_space_group_name_H-M 'F m -3 m'
_symmetry_Int_Tables_number 225
_symmetry_space_group_name_Hall '-F 4 2 3'
_cell_length_a 7.3303
_cell_length_b 7.3303
_cell_length_c 7.3303
_cell_angle_alpha 90.00
_cell_angle_beta 90.00
_cell_angle_gamma 90.00
loop_
_atom_site_label
_atom_site_type_symbol
_atom_site_fract_x
_atom_site_fract_y
_atom_site_fract_z
K1 K 0.2500 0.2500 0.2500
Fe1 Fe 0.0000 0.0000 0.0000
Rh1 Rh 0.0000 0.0000 0.5000
```



(2)
Entry from the Alexandria database: an optimized crystal structure of K2FeRh (GGA-PBEsol).

Output
density of states at the Fermi level: 4.08 states/eV/cell
spin magnetization: 3.06 μB/cell
crystal system: monoclinic

CIF file:
```
data_K2FeRh
_symmetry_space_group_name_H-M 'P 1 2/m 1'
_symmetry_Int_Tables_number 10
_cell_length_a 2.9678
_cell_length_b 5.4776
_cell_length_c 4.8058
_cell_angle_alpha 90.00
_cell_angle_beta 93.37
_cell_angle_gamma 90.00
loop_
_symmetry_equiv_pos_as_xyz
'x,y,z'
'-x,-y,-z'
'-x,y,-z'
'x,-y,z'
loop_
_atom_site_label
_atom_site_type_symbol
_atom_site_fract_x
_atom_site_fract_y
_atom_site_fract_z
K1 K 0.2503 0.0000 0.2480
Fe1 Fe 0.0000 0.5000 0.5000
Rh1 Rh 0.5000 0.5000 0.0000
```



Which is most stable, and by how much? (2), by 414 meV/atom.



(1)
Entry from the Alexandria database: an optimized crystal structure of KFe2Sb (GGA-PBEsol).

Output
density of states at the Fermi level: 24.98 states/eV/cell
spin magnetization: 23.24 μB/cell
crystal system: cubic

CIF file:
```
data_KFe2Sb
_symmetry_space_group_name_H-M 'F m -3 m'
_symmetry_Int_Tables_number 225
_symmetry_space_group_name_Hall '-F 4 2 3'
_cell_length_a 6.6440
_cell_length_b 6.6440
_cell_length_c 6.6440
_cell_angle_alpha 90.00
_cell_angle_beta 90.00
_cell_angle_gamma 90.00
loop_
_atom_site_label
_atom_site_type_symbol
_atom_site_fract_x
_atom_site_fract_y
_atom_site_fract_z
K1 K 0.0000 0.0000 0.0000
Fe1 Fe 0.2500 0.2500 0.2500
Sb1 Sb 0.0000 0.0000 0.5000
```



(2)
Entry from the Alexandria database: an optimized crystal structure of KFe2Sb (GGA-PBEsol).

Output
density of states at the Fermi level: 3.50 states/eV/cell
spin magnetization: 4.71 μB/cell
crystal system: tetragonal

CIF file:
```
data_KFe2Sb
_symmetry_space_group_name_H-M 'P 4 m m'
_symmetry_Int_Tables_number 99
_cell_length_a 3.1513
_cell_length_b 3.1513
_cell_length_c 8.0568
_cell_angle_alpha 90.00
_cell_angle_beta 90.00
_cell_angle_gamma 90.00
loop_
_symmetry_equiv_pos_as_xyz
'x,y,z'
'-y,x,z'
'-x,-y,z'
'y,-x,z'
'-x,y,z'
'y,x,z'
'x,-y,z'
'-y,-x,z'
loop_
_atom_site_label
_atom_site_type_symbol
_atom_site_fract_x
_atom_site_fract_y
_atom_site_fract_z
K1 K 0.0000 0.0000 0.0000
Fe1 Fe 0.0000 0.0000 0.5461
Fe2 Fe 0.5000 0.5000 0.6722
Sb1 Sb 0.5000 0.5000 0.3458
```



Which is most stable, and by how much? (2), by 534 meV/atom.



(1)
Entry from the Alexandria database: an optimized crystal structure of K2TaFe (GGA-PBEsol).

Output
density of states at the Fermi level: 6.14 states/eV/cell
spin magnetization: 1.90 μB/cell
crystal system: tetragonal

CIF file:
```
data_K2TaFe
_symmetry_space_group_name_H-M 'P 4/m m m'
_symmetry_Int_Tables_number 123
_symmetry_space_group_name_Hall '-P 4 2'
_cell_length_a 2.7895
_cell_length_b 2.7895
_cell_length_c 11.9693
_cell_angle_alpha 90.00
_cell_angle_beta 90.00
_cell_angle_gamma 90.00
loop_
_atom_site_label
_atom_site_type_symbol
_atom_site_fract_x
_atom_site_fract_y
_atom_site_fract_z
K1 K 0.0000 0.0000 0.2341
Ta1 Ta 0.5000 0.5000 0.5000
Fe1 Fe 0.5000 0.5000 0.0000
```



(2)
Entry from the Alexandria database: an optimized crystal structure of K2TaFe (GGA-PBEsol).

Output
density of states at the Fermi level: 3.62 states/eV/cell
spin magnetization: 1.24 μB/cell
crystal system: tetragonal

CIF file:
```
data_K2TaFe
_symmetry_space_group_name_H-M 'P 4 m m'
_symmetry_Int_Tables_number 99
_cell_length_a 3.2268
_cell_length_b 3.2268
_cell_length_c 10.7872
_cell_angle_alpha 90.00
_cell_angle_beta 90.00
_cell_angle_gamma 90.00
loop_
_symmetry_equiv_pos_as_xyz
'x,y,z'
'-y,x,z'
'-x,-y,z'
'y,-x,z'
'-x,y,z'
'y,x,z'
'x,-y,z'
'-y,-x,z'
loop_
_atom_site_label
_atom_site_type_symbol
_atom_site_fract_x
_atom_site_fract_y
_atom_site_fract_z
K1 K 0.0000 0.0000 0.0000
K2 K 0.5000 0.5000 0.3967
Ta1 Ta 0.0000 0.0000 0.6756
Fe1 Fe 0.5000 0.5000 0.7637
```



Which is most stable, and by how much? (2), by 773 meV/atom.